# 1
Computed, not measured: crystalline K3Ge2O6 at its relaxed geometry at the GGA-PBE level of DFT.

Unit cell a=3.6609 b=3.6609 c=24.4551 alpha=90.00 beta=90.00 gamma=90.00
Last column: nearest neighbours and their distance in Å.
Space group I4/mmm (No. 139)
One atom of each set of equivalent atoms:
1 K 0.0000 0.0000 0.0000 x2  8 O 2.78
2 K 0.0000 0.0000 0.2004 x4  5 O 2.63-2.87
3 Ge 0.0000 0.0000 0.3891 x4  5 O 1.74-1.93
4 O 0.0000 0.0000 0.3177 x4  1 Ge 1.74
5 O 0.0000 0.5000 0.0856 x8  2 Ge 1.93

Results
For the calculated density, the calculation gives 3.63 Mg/m³. As for the calculated total energy: -116.89 eV per cell. As for the crystal system: tetragonal. The energy relative to the elements, uncorrected is -1469.8 meV/atom.

# 2
Computed, not measured: crystalline KGeO3 at its relaxed geometry at the GGA-PBE level of DFT.

Unit cell a=3.8222 b=3.8222 c=3.8222 alpha=90.00 beta=90.00 gamma=90.00
Last column: nearest neighbours and their distance in Å.
Space group Pm-3m (No. 221)
One atom of each set of equivalent atoms:
1 K 0.0000 0.0000 0.0000 x1  12 O 2.70
2 Ge 0.5000 0.5000 0.5000 x1  6 O 1.91
3 O 0.0000 0.5000 0.5000 x3  2 Ge 1.91

Results
For the calculated density, the calculation gives 4.75 Mg/m³. As for the calculated total energy: -26.64 eV per cell. As for the crystal system: cubic. The energy relative to the elements, uncorrected is -1209.5 meV/atom.

# 3
Computed, not measured: crystalline KGeO3 at its relaxed geometry at the GGA-PBE level of DFT.

Unit cell a=5.4109 b=5.2708 c=6.1322 alpha=90.00 beta=107.98 gamma=90.00
Last column: nearest neighbours and their distance in Å.
Space group P2_1/m (No. 11)
One atom of each set of equivalent atoms:
1 K 0.2057 0.2500 0.3774 x2  5 O 2.73-2.92
2 Ge 0.4146 0.7500 0.0144 x2  5 O 1.81-1.89
3 O 0.1047 0.7500 0.0683 x2  1 Ge 1.81
4 O 0.4023 0.5046 0.7869 x4  2 Ge 1.88-1.89

Results
For the calculated density, the calculation gives 3.19 Mg/m³. As for the calculated total energy: -54.48 eV per cell. As for the crystal system: monoclinic. The energy relative to the elements, uncorrected is -1330.2 meV/atom.

# 4
Computed, not measured: crystalline KGeO2 at its relaxed geometry at the GGA-PBE level of DFT.

Unit cell a=6.9214 b=5.8374 c=7.1842 alpha=90.00 beta=90.00 gamma=90.00
Last column: nearest neighbours and their distance in Å.
Space group Pnma (No. 62)
One atom of each set of equivalent atoms:
1 K 0.1446 0.2500 0.1347 x4  7 O 2.88-3.17
2 Ge 0.0632 0.2500 0.6513 x4  3 O 1.87
3 O 0.0000 0.0000 0.5000 x4  2 Ge 1.87
4 O 0.1293 0.7500 0.1670 x4  1 Ge 1.87

Results
For the calculated density, the calculation gives 3.29 Mg/m³. As for the calculated total energy: -85.56 eV per cell. As for the crystal system: orthorhombic. The energy relative to the elements, uncorrected is -1439.5 meV/atom.

# 5
Computed, not measured: crystalline KGe3O at its relaxed geometry at the GGA-PBE level of DFT.

Unit cell a=5.6459 b=5.6459 c=5.6459 alpha=90.00 beta=90.00 gamma=90.00
Last column: nearest neighbours and their distance in Å.
Space group Pm-3m (No. 221)
One atom of each set of equivalent atoms:
1 K 0.0000 0.0000 0.0000 x1  6 Ge 2.82
2 Ge 0.0000 0.0000 0.5000 x3  2 K 2.82
3 O 0.5000 0.5000 0.5000 x1  12 Ge 3.99

Results
For the calculated density, the calculation gives 2.52 Mg/m³. As for the calculated total energy: -9.58 eV per cell. As for the crystal system: cubic. As for the excess energy over the best structure of this formula in the dataset: 1984.5 meV per atom. The energy relative to the elements, uncorrected is 2064.9 meV/atom.

# 6
Computed, not measured: crystalline KGeO2 at its relaxed geometry at the GGA-PBE level of DFT.

Unit cell a=5.2299 b=11.0541 c=5.5785 alpha=90.00 beta=90.00 gamma=90.00
Last column: nearest neighbours and their distance in Å.
Space group Ama2 (No. 40)
One atom of each set of equivalent atoms:
1 K 0.2500 0.1848 0.0000 x4  3 O 2.75-2.96
2 Ge 0.0000 0.0000 0.5264 x4  4 O 1.88-1.95
3 O 0.2500 0.1288 0.4805 x4  2 Ge 1.95
4 O 0.2500 0.4252 0.2176 x4  2 Ge 1.88

Results
For the calculated density, the calculation gives 2.96 Mg/m³. As for the calculated total energy: -83.76 eV per cell. As for the crystal system: orthorhombic. The energy relative to the elements, uncorrected is -1327.1 meV/atom.

# 7
Computed, not measured: crystalline KGeO2 at its relaxed geometry at the GGA-PBE level of DFT.

Unit cell a=5.8252 b=5.8252 c=8.5185 alpha=90.00 beta=90.00 gamma=90.00
Last column: nearest neighbours and their distance in Å.
Space group I-42d (No. 122)
One atom of each set of equivalent atoms:
1 K 0.0000 0.0000 0.0000 x4  4 O 2.84
2 Ge 0.0000 0.0000 0.5000 x4  4 O 1.94
3 O 0.1240 0.2500 0.6250 x8  2 Ge 1.94

Results
For the calculated density, the calculation gives 3.30 Mg/m³. As for the calculated total energy: -84.84 eV per cell. As for the crystal system: tetragonal. The energy relative to the elements, uncorrected is -1394.9 meV/atom.

# 8
Computed, not measured: crystalline K2GeOsO6 at its relaxed geometry at the GGA-PBE level of DFT.

Unit cell a=7.7732 b=7.7732 c=7.7732 alpha=90.00 beta=90.00 gamma=90.00
Last column: nearest neighbours and their distance in Å.
Space group Fm-3m (No. 225)
One atom of each set of equivalent atoms:
1 K 0.2500 0.2500 0.2500 x8  12 O 2.75
2 Ge 0.0000 0.0000 0.0000 x4  6 O 1.93
3 Os 0.0000 0.0000 0.5000 x4  6 O 1.96
4 O 0.0000 0.0000 0.2483 x24  1 Ge 1.93, 1 Os 1.96

Results
For the calculated density, the calculation gives 6.18 Mg/m³. As for the calculated total energy: -242.46 eV per cell. As for the crystal system: cubic. The energy relative to the elements, uncorrected is -1282.4 meV/atom.